1:
Density functional theory data (PBE-GGA) for a relaxed CsAcHg crystal. Values from VASP.

Its space group is F-43m (216).

The structure in Quantum ESPRESSO input format:
```
&SYSTEM
  ibrav = 0, nat = 3, ntyp = 3
/
ATOMIC_SPECIES
Ac 227.00 Ac.upf
Cs 132.91 Cs.upf
Hg 200.59 Hg.upf
ATOMIC_POSITIONS crystal
Ac 0.5000 0.5000 0.5000
Cs 0.2500 0.2500 0.2500
Hg 0.0000 0.0000 0.0000
CELL_PARAMETERS angstrom
3.9787 -3.0439 -2.5540
0.8767 -5.3373 1.5371
-1.4516 -4.1946 -3.4520
```



2:
Density functional theory data (PBE-GGA) for a relaxed CsAcHg crystal. Values from VASP.

Its space group is F-43m (216).

The structure in Quantum ESPRESSO input format:
```
&SYSTEM
  ibrav = 0, nat = 3, ntyp = 3
/
ATOMIC_SPECIES
Ac 227.00 Ac.upf
Cs 132.91 Cs.upf
Hg 200.59 Hg.upf
ATOMIC_POSITIONS crystal
Ac 0.0000 0.0000 0.0000
Cs 0.2500 0.2500 0.2500
Hg 0.7500 0.7500 0.7500
CELL_PARAMETERS angstrom
0.0000 4.0572 4.0572
4.0572 0.0000 4.0572
4.0572 4.0572 0.0000
```



Quick ranking, most stable first: 2, 1.